Record 1
This record from Alexandria describes an optimized crystal structure of YLuTe3. The functional is PBE-GGA.

The structure in POSCAR format:
```
YLuTe3
1.0
-0.739 6.571 3.765
-5.979 3.573 -8.024
-3.552 -1.527 1.967
Y Te Lu
2 6 2
direct
0.084 0.670 0.827 Y
0.574 0.662 0.327 Y
0.076 0.169 0.828 Te
0.748 0.494 0.828 Te
0.909 0.838 0.328 Te
0.423 0.831 0.827 Te
0.234 0.501 0.327 Te
0.581 0.162 0.328 Te
0.915 0.313 0.327 Lu
0.743 0.019 0.828 Lu
```

DFT total energy in eV/f.u.: -27.21
Relative energy among the computed polymorphs in meV/atom: 31
Energy relative to the elements, uncorrected in eV/f.u.: -6.8



Record 2
This record from Alexandria describes an optimized crystal structure of PrSc3In. The functional is PBE-GGA.

The structure in POSCAR format:
```
PrSc3In
1.0
-1.972 1.939 5.189
-0.032 -7.006 2.606
6.114 4.236 0.740
Pr Sc In
2 6 2
direct
0.750 0.667 0.333 Pr
0.250 0.333 0.667 Pr
0.750 0.609 0.805 Sc
0.250 0.805 0.609 Sc
0.250 0.391 0.195 Sc
0.750 0.195 0.391 Sc
0.250 0.805 0.195 Sc
0.750 0.195 0.805 Sc
0.000 0.000 0.000 In
0.500 0.000 0.000 In
```

DFT total energy in eV/f.u.: -26.24
ΔH_f (0 K) in eV/atom: 0.0543



Copy entry 2 word for word.
This record from Alexandria describes an optimized crystal structure of PrSc3In. The functional is PBE-GGA.

The structure in POSCAR format:
```
PrSc3In
1.0
-1.972 1.939 5.189
-0.032 -7.006 2.606
6.114 4.236 0.740
Pr Sc In
2 6 2
direct
0.750 0.667 0.333 Pr
0.250 0.333 0.667 Pr
0.750 0.609 0.805 Sc
0.250 0.805 0.609 Sc
0.250 0.391 0.195 Sc
0.750 0.195 0.391 Sc
0.250 0.805 0.195 Sc
0.750 0.195 0.805 Sc
0.000 0.000 0.000 In
0.500 0.000 0.000 In
```

DFT total energy in eV/f.u.: -26.24
ΔH_f (0 K) in eV/atom: 0.0543



> The lowest DFT total energy belongs to which entry?

YLuTe3



> Look up the DFT total energy of the second one.

-26.24 eV/f.u.



Repeat the second record exactly.
This record from Alexandria describes an optimized crystal structure of PrSc3In. The functional is PBE-GGA.

The structure in POSCAR format:
```
PrSc3In
1.0
-1.972 1.939 5.189
-0.032 -7.006 2.606
6.114 4.236 0.740
Pr Sc In
2 6 2
direct
0.750 0.667 0.333 Pr
0.250 0.333 0.667 Pr
0.750 0.609 0.805 Sc
0.250 0.805 0.609 Sc
0.250 0.391 0.195 Sc
0.750 0.195 0.391 Sc
0.250 0.805 0.195 Sc
0.750 0.195 0.805 Sc
0.000 0.000 0.000 In
0.500 0.000 0.000 In
```

DFT total energy in eV/f.u.: -26.24
ΔH_f (0 K) in eV/atom: 0.0543